No. 1
! HoCoSb PBE optimized geometry; values from VASP
&SYSTEM
  ibrav = 0, nat = 18, ntyp = 3
/
ATOMIC_SPECIES
Ho 164.93 Ho.upf
Sb 121.76 Sb.upf
Co 58.93 Co.upf
ATOMIC_POSITIONS crystal
Ho 0.000 0.500 0.333
Ho 0.000 0.000 0.167
Ho 0.000 0.000 0.833
Ho 0.500 0.000 0.667
Ho 0.500 0.500 0.000
Ho 0.000 0.000 0.500
Sb 0.000 0.500 0.047
Sb 0.500 0.000 0.953
Sb 0.000 0.500 0.620
Sb 0.500 0.000 0.380
Sb 0.500 0.500 0.714
Sb 0.500 0.500 0.286
Co 0.606 0.394 0.500
Co 0.394 0.606 0.500
Co 0.606 0.211 0.167
Co 0.789 0.394 0.833
Co 0.211 0.606 0.833
Co 0.394 0.789 0.167
CELL_PARAMETERS angstrom
6.218 0.000 0.000
-3.109 5.385 0.000
0.000 0.000 11.200
! Raw formation energy, eV/atom: -0.3879
! Total magnetic moment, μB/cell: 3.1

No. 2
! MnBeAs2 PBE optimized geometry; values from VASP
&SYSTEM
  ibrav = 0, nat = 4, ntyp = 3
/
ATOMIC_SPECIES
Be 9.01 Be.upf
Mn 54.94 Mn.upf
As 74.92 As.upf
ATOMIC_POSITIONS crystal
Be 0.507 0.507 0.446
Mn 0.256 0.256 0.297
As 0.735 0.735 0.632
As 0.002 0.002 0.125
CELL_PARAMETERS angstrom
-0.183 -0.036 4.089
-2.820 -0.842 2.845
1.008 -5.501 1.430
! Polymorph energy (0 for the lowest one), meV/atom: 104
! Total magnetic moment, μB/cell: 0.0

No. 3
! Li4Tm3UTe8 PBE optimized geometry; values from VASP
&SYSTEM
  ibrav = 0, nat = 16, ntyp = 4
/
ATOMIC_SPECIES
Te 127.60 Te.upf
U 238.03 U.upf
Tm 168.93 Tm.upf
Li 6.94 Li.upf
ATOMIC_POSITIONS crystal
Te 0.746 0.756 0.001
Te 0.255 0.756 0.001
Te 0.249 0.248 0.499
Te 0.751 0.752 0.501
Te 0.745 0.244 0.491
Te 0.745 0.244 0.999
Te 0.254 0.244 0.999
Te 0.255 0.756 0.509
U 0.000 0.500 0.000
Tm 0.000 0.500 0.500
Tm 0.500 0.500 0.500
Tm 0.500 0.500 0.000
Li 0.500 0.000 0.000
Li 0.000 0.000 0.500
Li 0.000 0.000 0.000
Li 0.500 0.000 0.500
CELL_PARAMETERS angstrom
-5.613 5.383 3.726
2.951 -2.312 7.786
5.474 2.939 -5.979
! Raw formation energy, eV/atom: -1.1278
! Total magnetic moment, μB/cell: 3.0

no.,raw total energy (eV per formula unit)
1,-17.0
2,-21.9
3,-75.5